[1]
# TeMo2Pb

TeMo2Pb after structural relaxation (PBE, the Alexandria database).

## Properties
- Magnetization: 0.00 μB/cell
- Symmetry: P2/m
- Total energy: -25.189 eV for the cell shown
- Theoretical density: 10.6 g/cm3
- Formation energy without anion corrections: 321 kJ/mol of formula units

Cell lengths 3.2369, 4.2625, 6.0499 Å; angles 90.00, 98.56, 90.00 degrees
Positions (direct):
Te1 0.0000 0.0000 0.0000
Mo1 0.2102 0.5000 0.7865
Mo2 0.7898 0.5000 0.2135
Pb1 0.5000 0.0000 0.5000

---

[2]
# TeMo2Pb

TeMo2Pb after structural relaxation (PBE, the Alexandria database).

## Properties
- Magnetization: 0.00 μB/cell
- Symmetry: P4mm
- Total energy: -27.641 eV for the cell shown
- Theoretical density: 9.7 g/cm3
- Formation energy without anion corrections: 84 kJ/mol of formula units

Cell lengths 3.3249, 3.3249, 8.1849 Å; angles 90.00, 90.00, 90.00 degrees
Positions (direct):
Te1 0.0000 0.0000 0.0000
Mo1 0.0000 0.0000 0.3613
Mo2 0.5000 0.5000 0.2024
Pb1 0.5000 0.5000 0.6117

---

[3]
# TeMo2Pb

TeMo2Pb after structural relaxation (PBE, the Alexandria database).

## Properties
- Magnetization: 0.00 μB/cell
- Symmetry: Cm
- Total energy: -26.917 eV for the cell shown
- Theoretical density: 8.6 g/cm3
- Formation energy without anion corrections: 154 kJ/mol of formula units

Cell lengths 4.6482, 4.6482, 7.2783 Å; angles 97.74, 97.74, 40.92 degrees
Positions (direct):
Te1 0.0000 0.0000 0.0000
Mo1 0.4674 0.4674 0.3098
Mo2 0.7417 0.7417 0.2055
Pb1 0.2201 0.2201 0.5652

---

[4]
# Te2MoPb

Te2MoPb after structural relaxation (PBE, the Alexandria database).

## Properties
- Magnetization: 0.00 μB/cell
- Symmetry: Imm2
- Total energy: -20.119 eV for the cell shown
- Theoretical density: 8.5 g/cm3
- Formation energy without anion corrections: 68 kJ/mol of formula units

Cell lengths 7.9583, 7.9583, 7.9583 Å; angles 155.21, 148.97, 40.11 degrees
Positions (direct):
Te1 0.0000 0.0000 0.0000
Te2 0.6958 0.1958 0.5000
Mo1 0.1409 0.6409 0.5000
Pb1 0.3520 0.3520 0.0000

---

[5]
# TeMoPb3

TeMoPb3 after structural relaxation (PBE, the Alexandria database).

## Properties
- Magnetization: 4.52 μB/cell
- Symmetry: Pm-3m
- Total energy: -18.519 eV for the cell shown
- Theoretical density: 6.7 g/cm3
- Formation energy without anion corrections: 635 kJ/mol of formula units

Cell lengths 5.9520, 5.9520, 5.9520 Å; angles 90.00, 90.00, 90.00 degrees
Positions (direct):
Te1 0.0000 0.0000 0.0000
Mo1 0.5000 0.5000 0.5000
Pb1 0.0000 0.0000 0.5000
Pb2 0.0000 0.5000 0.0000
Pb3 0.5000 0.0000 0.0000

---

[6]
# TeMo2Pb

TeMo2Pb after structural relaxation (PBE, the Alexandria database).

## Properties
- Magnetization: 0.00 μB/cell
- Symmetry: P4/mmm
- Total energy: -26.216 eV for the cell shown
- Theoretical density: 11.4 g/cm3
- Formation energy without anion corrections: 222 kJ/mol of formula units

Cell lengths 3.3457, 3.3457, 6.8564 Å; angles 90.00, 90.00, 90.00 degrees
Positions (direct):
Te1 0.0000 0.0000 0.0000
Mo1 0.5000 0.5000 0.2293
Mo2 0.5000 0.5000 0.7707
Pb1 0.0000 0.0000 0.5000

---

[7]
# TeMo2Pb

TeMo2Pb after structural relaxation (PBE, the Alexandria database).

## Properties
- Magnetization: 0.09 μB/cell
- Symmetry: I-4m2
- Total energy: -25.241 eV for the cell shown
- Theoretical density: 10.8 g/cm3
- Formation energy without anion corrections: 316 kJ/mol of formula units

Cell lengths 5.1688, 5.1688, 5.1688 Å; angles 129.22, 129.22, 74.65 degrees
Positions (direct):
Te1 0.0000 0.0000 0.0000
Mo1 0.2500 0.7500 0.5000
Mo2 0.5000 0.5000 0.0000
Pb1 0.7500 0.2500 0.5000

---

[8]
# Te2MoPb

Te2MoPb after structural relaxation (PBE, the Alexandria database).

## Properties
- Magnetization: 0.00 μB/cell
- Symmetry: P4mm
- Total energy: -20.020 eV for the cell shown
- Theoretical density: 8.7 g/cm3
- Formation energy without anion corrections: 77 kJ/mol of formula units

Cell lengths 3.2851, 3.2851, 9.8408 Å; angles 90.00, 90.00, 90.00 degrees
Positions (direct):
Te1 0.0000 0.0000 0.0000
Te2 0.5000 0.5000 0.3332
Mo1 0.0000 0.0000 0.4852
Pb1 0.5000 0.5000 0.7016

---

[9]
# Ti5MoPb

Ti5MoPb after structural relaxation (PBE, the Alexandria database).

## Properties
- Magnetization: 0.00 μB/cell
- Symmetry: C2/c
- Energy relative to the elements: 0.06 eV per atom
- Total energy: -107.166 eV for the cell shown
- Theoretical density: 7.0 g/cm3

Cell lengths 7.3370, 7.3370, 5.6261 Å; angles 112.44, 112.44, 74.78 degrees
Positions (direct):
Ti1 0.0738 0.9262 0.7500
Ti2 0.1069 0.6340 0.1194
Ti3 0.2404 0.2407 0.7401
Ti4 0.2407 0.2404 0.2401
Ti5 0.3660 0.8931 0.3806
Ti6 0.6340 0.1069 0.6194
Ti7 0.7593 0.7596 0.7599
Ti8 0.7596 0.7593 0.2599
Ti9 0.8931 0.3660 0.8806
Ti10 0.9262 0.0738 0.2500
Mo1 0.0000 0.5000 0.5000
Mo2 0.5000 0.0000 0.0000
Pb1 0.4055 0.5945 0.7500
Pb2 0.5945 0.4055 0.2500

---

[10]
# Ti6MoPb

Ti6MoPb after structural relaxation (PBE, the Alexandria database).

## Properties
- Magnetization: 0.00 μB/cell
- Symmetry: Pmm2
- Energy relative to the elements: 0.05 eV per atom
- Total energy: -61.494 eV for the cell shown
- Theoretical density: 6.9 g/cm3

Cell lengths 4.7406, 5.6604, 5.2868 Å; angles 90.00, 90.00, 90.00 degrees
Positions (direct):
Ti1 0.0000 0.0000 0.0000
Ti2 0.0000 0.2368 0.4704
Ti3 0.0000 0.7632 0.4704
Ti4 0.5000 0.2394 0.7470
Ti5 0.5000 0.5000 0.2660
Ti6 0.5000 0.7606 0.7470
Mo1 0.5000 0.0000 0.2756
Pb1 0.0000 0.5000 0.9526

---

[11]
# Ti8MoPb2

Ti8MoPb2 after structural relaxation (PBE, the Alexandria database).

## Properties
- Magnetization: 0.00 μB/cell
- Symmetry: Immm
- Energy relative to the elements: -0.02 eV per atom
- Total energy: -81.573 eV for the cell shown
- Theoretical density: 7.3 g/cm3

Cell lengths 7.8298, 7.8298, 7.8298 Å; angles 144.70, 131.95, 61.01 degrees
Positions (direct):
Ti1 0.1371 0.3690 0.7681
Ti2 0.1648 0.1648 0.0000
Ti3 0.2605 0.0000 0.2605
Ti4 0.3991 0.6310 0.7681
Ti5 0.6009 0.3690 0.2319
Ti6 0.7395 0.0000 0.7395
Ti7 0.8352 0.8352 0.0000
Ti8 0.8629 0.6310 0.2319
Mo1 0.0000 0.5000 0.5000
Pb1 0.3098 0.8098 0.5000
Pb2 0.6902 0.1902 0.5000

---

[12]
# Ti7MoPb2

Ti7MoPb2 after structural relaxation (PBE, the Alexandria database).

## Properties
- Magnetization: 3.84 μB/cell
- Symmetry: Fm-3m
- Energy relative to the elements: 0.68 eV per atom
- Total energy: -66.689 eV for the cell shown
- Theoretical density: 6.6 g/cm3

Cell lengths 6.7130, 6.7130, 6.7130 Å; angles 60.00, 60.00, 60.00 degrees
Positions (direct):
Ti1 0.0000 0.0000 0.0000
Ti2 0.2489 0.2489 0.7511
Ti3 0.2489 0.7511 0.2489
Ti4 0.2489 0.7511 0.7511
Ti5 0.7511 0.2489 0.2489
Ti6 0.7511 0.2489 0.7511
Ti7 0.7511 0.7511 0.2489
Mo1 0.5000 0.5000 0.5000
Pb1 0.2500 0.2500 0.2500
Pb2 0.7500 0.7500 0.7500

---

[13]
# TiMoPb

TiMoPb after structural relaxation (PBE, the Alexandria database).

## Properties
- Magnetization: 0.00 μB/cell
- Symmetry: I4/mmm
- Energy relative to the elements: 0.01 eV per atom
- Total energy: -44.832 eV for the cell shown
- Theoretical density: 9.4 g/cm3

Cell lengths 12.2567, 12.2567, 12.2567 Å; angles 164.99, 164.99, 21.29 degrees
Positions (direct):
Ti1 0.1529 0.1529 0.0000
Ti2 0.8471 0.8471 0.0000
Mo1 0.2812 0.2812 0.0000
Mo2 0.7188 0.7188 0.0000
Pb1 0.4344 0.4344 0.0000
Pb2 0.5656 0.5656 0.0000